[1]
This record from the Alexandria database describes a geometry-optimized RuCl structure. The functional is GGA-PBE.

The space group is Pmmn (No. 59, origin choice 2) and the conventional cell measures 3.801, 9.683 and 6.014 Å, with angles of 90.00, 90.00 and 90.00 degrees. The distinct sites, in fractional coordinates, are Ru at (0.250, 0.001, 0.118), Ru at (0.250, 0.250, 0.286), Cl at (0.250, 0.094, 0.645) and Cl at (0.250, 0.750, 0.930).

For the energy above the most stable polymorph in this dataset, the calculation gives 0.302 eV per atom. The total energy comes out at -5.19 eV per atom. As for the energy relative to the elements, uncorrected: 0.367 eV per atom. The density of states at the Fermi level comes out at 1.9 states/eV/f.u. For the magnetization, the calculation gives 0.082 μB/atom.

[2]
This record from the Alexandria database describes a geometry-optimized RuCl structure. The functional is GGA-PBE.

The space group is P2_13 (No. 198) and the conventional cell measures 5.155, 5.155 and 5.155 Å, with angles of 90.00, 90.00 and 90.00 degrees. The distinct sites, in fractional coordinates, are Ru at (0.058, 0.058, 0.058) and Cl at (0.187, 0.687, 0.813).

For the energy above the most stable polymorph in this dataset, the calculation gives 0.677 eV per atom. The total energy comes out at -4.82 eV per atom. As for the energy relative to the elements, uncorrected: 0.742 eV per atom. The density of states at the Fermi level comes out at 3.1 states/eV/f.u. For the magnetization, the calculation gives 0.000 μB/atom.

[3]
This record from the Alexandria database describes a geometry-optimized RuCl structure. The functional is GGA-PBE.

The space group is P6_3/mmc (No. 194) and the conventional cell measures 4.9704, 4.9704 and 6.9304 Å, with angles of 90.00, 90.00 and 120.00 degrees. The distinct sites, in fractional coordinates, are Ru at (0.3333, 0.6667, 0.0858), Cl at (0.0000, 0.0000, 0.2500) and Cl at (0.3333, 0.6667, 0.7500).

For the energy above the most stable polymorph in this dataset, the calculation gives 1.061 eV per atom. The total energy comes out at -4.44 eV per atom. As for the energy relative to the elements, uncorrected: 1.125 eV per atom. The density of states at the Fermi level comes out at 2.3 states/eV/f.u. For the magnetization, the calculation gives 0.414 μB/atom.

[4]
This record from the Alexandria database describes a geometry-optimized Ru5Cl structure. The functional is GGA-PBE.

The space group is Amm2 (No. 38) and the conventional cell measures 4.251, 2.813 and 14.673 Å, with angles of 90.00, 90.00 and 90.00 degrees. The distinct sites, in fractional coordinates, are Ru at (0.000, 0.000, 0.000), Ru at (0.000, 0.000, 0.324), Ru at (0.000, 0.000, 0.653), Ru at (0.500, 0.000, 0.110), Ru at (0.500, 0.000, 0.757) and Cl at (0.500, 0.000, 0.414).

For the energy above the most stable polymorph in this dataset, the calculation gives 0.027 eV per atom. The total energy comes out at -7.56 eV per atom. As for the energy relative to the elements, uncorrected: 0.480 eV per atom. The density of states at the Fermi level comes out at 6.8 states/eV/f.u. For the magnetization, the calculation gives 0.000 μB/atom.

[5]
This record from the Alexandria database describes a geometry-optimized RuCl structure. The functional is GGA-PBE.

The space group is P4_2/mnm (No. 136) and the conventional cell measures 7.269, 7.269 and 3.028 Å, with angles of 90.00, 90.00 and 90.00 degrees. The distinct sites, in fractional coordinates, are Ru at (0.121, 0.121, 0.000) and Cl at (0.199, 0.801, 0.000).

For the energy above the most stable polymorph in this dataset, the calculation gives 0.492 eV per atom. The total energy comes out at -5.00 eV per atom. As for the energy relative to the elements, uncorrected: 0.557 eV per atom. The density of states at the Fermi level comes out at 2.1 states/eV/f.u. For the magnetization, the calculation gives 0.000 μB/atom.

[6]
This record from the Alexandria database describes a geometry-optimized RuCl structure. The functional is GGA-PBE.

The space group is P1 (No. 1) and the conventional cell measures 2.977, 3.661 and 8.913 Å, with angles of 90.04, 92.78 and 113.97 degrees. The distinct sites, in fractional coordinates, are Ru at (0.000, 0.000, 0.000), Ru at (0.300, 0.554, 0.158), Cl at (0.786, 0.465, 0.365) and Cl at (0.987, 0.048, 0.752).

For the energy above the most stable polymorph in this dataset, the calculation gives 0.053 eV per atom. The total energy comes out at -5.44 eV per atom. As for the energy relative to the elements, uncorrected: 0.118 eV per atom. The density of states at the Fermi level comes out at 1.7 states/eV/f.u. For the magnetization, the calculation gives 0.000 μB/atom.

[7]
This record from the Alexandria database describes a geometry-optimized RuCl5 structure. The functional is GGA-PBE.

The space group is C2/c (No. 15) and the conventional cell measures 12.973, 6.727 and 8.642 Å, with angles of 90.00, 108.91 and 90.00 degrees. The distinct sites, in fractional coordinates, are Ru at (0.000, 0.000, 0.000), Cl at (0.000, 0.163, 0.250), Cl at (0.087, 0.276, 0.953) and Cl at (0.165, 0.144, 0.631).

For the energy above the most stable polymorph in this dataset, the calculation gives 0.000 eV per atom. The total energy comes out at -3.44 eV per atom. As for the energy relative to the elements, uncorrected: -0.356 eV per atom. The density of states at the Fermi level comes out at 1.3 states/eV/f.u. For the magnetization, the calculation gives 0.496 μB/atom.

[8]
This record from the Alexandria database describes a geometry-optimized Ru2Cl structure. The functional is GGA-PBE.

The space group is C2/m (No. 12) and the conventional cell measures 9.710, 2.863 and 9.679 Å, with angles of 90.00, 117.62 and 90.00 degrees. The distinct sites, in fractional coordinates, are Ru at (0.120, 0.000, 0.128), Ru at (0.123, 0.500, 0.905) and Cl at (0.052, 0.000, 0.337).

For the energy above the most stable polymorph in this dataset, the calculation gives 0.044 eV per atom. The total energy comes out at -6.55 eV per atom. As for the energy relative to the elements, uncorrected: 0.253 eV per atom. The density of states at the Fermi level comes out at 2.8 states/eV/f.u. For the magnetization, the calculation gives 0.000 μB/atom.

[9]
This record from the Alexandria database describes a geometry-optimized RuCl structure. The functional is GGA-PBE.

The space group is R-3m (No. 166, hexagonal axes) and the conventional cell measures 2.9919, 2.9919 and 28.1208 Å, with angles of 90.00, 90.00 and 120.00 degrees. The distinct sites, in fractional coordinates, are Ru at (0.0000, 0.0000, 0.1318) and Cl at (0.0000, 0.0000, 0.3991).

For the energy above the most stable polymorph in this dataset, the calculation gives 0.133 eV per atom. The total energy comes out at -5.36 eV per atom. As for the energy relative to the elements, uncorrected: 0.198 eV per atom. The density of states at the Fermi level comes out at 2.8 states/eV/f.u. For the magnetization, the calculation gives 0.000 μB/atom.

[10]
This record from the Alexandria database describes a geometry-optimized RuCl2 structure. The functional is GGA-PBE.

The space group is C2/m (No. 12) and the conventional cell measures 11.921, 3.524 and 8.842 Å, with angles of 90.00, 130.30 and 90.00 degrees. The distinct sites, in fractional coordinates, are Ru at (0.073, 0.000, 0.448), Cl at (0.051, 0.500, 0.785) and Cl at (0.240, 0.500, 0.661).

The total energy comes out at -4.62 eV per atom. As for the energy relative to the elements, uncorrected: -0.292 eV per atom. The density of states at the Fermi level comes out at 0.2 states/eV/f.u. For the magnetization, the calculation gives 0.338 μB/atom.

[11]
This record from the Alexandria database describes a geometry-optimized RuCl2 structure. The functional is GGA-PBE.

The space group is P6_3/mmc (No. 194) and the conventional cell measures 4.2052, 4.2052 and 8.7816 Å, with angles of 90.00, 90.00 and 120.00 degrees. The distinct sites, in fractional coordinates, are Ru at (0.3333, 0.6667, 0.2500), Cl at (0.0000, 0.0000, 0.0000) and Cl at (0.3333, 0.6667, 0.7500).

The total energy comes out at -3.78 eV per atom. As for the energy relative to the elements, uncorrected: 0.545 eV per atom. The density of states at the Fermi level comes out at 3.0 states/eV/f.u. For the magnetization, the calculation gives 1.239 μB/atom.

[12]
This record from the Alexandria database describes a geometry-optimized Ru2Cl structure. The functional is GGA-PBE.

The space group is Cmcm (No. 63) and the conventional cell measures 4.050, 20.433 and 2.891 Å, with angles of 90.00, 90.00 and 90.00 degrees. The distinct sites, in fractional coordinates, are Ru at (0.000, 0.159, 0.250), Ru at (0.000, 0.264, 0.750) and Cl at (0.000, 0.410, 0.250).

For the energy above the most stable polymorph in this dataset, the calculation gives 0.270 eV per atom. The total energy comes out at -6.32 eV per atom. As for the energy relative to the elements, uncorrected: 0.480 eV per atom. The density of states at the Fermi level comes out at 3.5 states/eV/f.u. For the magnetization, the calculation gives 0.110 μB/atom.